{
  "formula": "ZnCu2HRu",
  "functional": "PBE",
  "state": "relaxed",
  "space_group": "P4/mmm (123)",
  "energy_ev_per_cell": -22.04,
  "dos_at_fermi_per_ev_fu": 3.09,
  "cell": [[-1.634, 2.254, 2.560], [-3.389, -0.750, -1.503], [-0.391, -2.967, 2.362]],
  "species": ["Cu", "Cu", "H", "Zn", "Ru"],
  "fractional_positions": [[0.000, 0.500, 0.000], [0.500, 0.000, 0.000], [0.000, 0.000, 0.000], [0.500, 0.500, 0.500], [0.000, 0.000, 0.500]]
}